#P
Density functional theory data (GGA-PBE) for InPbSe2Br after structural relaxation.

Properties
crystal system	tetragonal
symmetry	No. 123

POSCAR file:
```
InPbSe2Br
1.0
5.3450 0.0000 0.0000
0.0000 5.3450 0.0000
0.0000 0.0000 5.3291
In Pb Se Br
1 1 2 1
Direct
0.0000 0.0000 0.0000
0.5000 0.5000 0.5000
0.0000 0.5000 0.0000
0.5000 0.0000 0.0000
0.0000 0.0000 0.5000
```

---

#Q
Density functional theory data (GGA-PBE) for InPbSe2Br after structural relaxation.

Properties
crystal system	monoclinic
symmetry	No. 11

POSCAR file:
```
InPbSe2Br
1.0
7.0704 0.0000 0.0000
0.0000 5.9661 0.0000
-0.3230 0.0000 8.2725
In Pb Se Br
2 2 4 2
Direct
0.0842 0.2500 0.3521
0.9158 0.7500 0.6479
0.2206 0.2500 0.8927
0.7794 0.7500 0.1073
0.0694 0.7500 0.3692
0.1152 0.7500 0.9198
0.8848 0.2500 0.0802
0.9306 0.2500 0.6308
0.4371 0.2500 0.2772
0.5629 0.7500 0.7228
```

---

#Q (396 meV/atom below the next structure)

---

#P
Density functional theory data (GGA-PBE) for InTePbBr after structural relaxation.

Properties
crystal system	cubic
symmetry	No. 216

POSCAR file:
```
InTePbBr
1.0
0.0000 3.9614 3.9614
3.9614 0.0000 3.9614
3.9614 3.9614 0.0000
In Te Pb Br
1 1 1 1
Direct
0.0000 0.0000 0.0000
0.7500 0.7500 0.7500
0.5000 0.5000 0.5000
0.2500 0.2500 0.2500
```

---

#Q
Density functional theory data (GGA-PBE) for InTePbBr after structural relaxation.

Properties
crystal system	trigonal
symmetry	No. 166

POSCAR file:
```
InTePbBr
1.0
2.7617 1.5945 12.0288
-2.7617 1.5945 12.0288
0.0000 -3.1890 12.0288
In Te Pb Br
2 2 2 2
Direct
0.1155 0.1155 0.1155
0.8845 0.8845 0.8845
0.3816 0.3816 0.3816
0.6184 0.6184 0.6184
0.2942 0.2942 0.2942
0.7058 0.7058 0.7058
0.2013 0.2013 0.2013
0.7987 0.7987 0.7987
```

---

#Q (77 meV/atom below the next structure)

---

#P
Density functional theory data (GGA-PBE) for In2PdBr after structural relaxation.

Properties
crystal system	cubic
symmetry	No. 225

POSCAR file:
```
In2PdBr
1.0
0.0000 3.6954 3.6954
3.6954 0.0000 3.6954
3.6954 3.6954 0.0000
In Pd Br
2 1 1
Direct
0.2500 0.2500 0.2500
0.7500 0.7500 0.7500
0.0000 0.0000 0.0000
0.5000 0.5000 0.5000
```

---

#Q
Density functional theory data (GGA-PBE) for In2PdBr after structural relaxation.

Properties
crystal system	tetragonal
symmetry	No. 122

POSCAR file:
```
In2PdBr
1.0
-3.2705 3.2705 6.6096
3.2705 -3.2705 6.6096
3.2705 3.2705 -6.6096
In Pd Br
4 2 2
Direct
0.0581 0.6250 0.9331
0.3750 0.3081 0.4331
0.6919 0.1250 0.0669
0.8750 0.9419 0.5669
0.0000 0.0000 0.0000
0.7500 0.2500 0.5000
0.2500 0.7500 0.5000
0.5000 0.5000 0.0000
```

---

#Q (223 meV/atom below the next structure)

---

#P
Density functional theory data (GGA-PBE) for InPdBr2 after structural relaxation.

Properties
crystal system	tetragonal
symmetry	No. 122

POSCAR file:
```
InPdBr2
1.0
-3.1698 3.1698 7.1807
3.1698 -3.1698 7.1807
3.1698 3.1698 -7.1807
In Pd Br
2 2 4
Direct
0.0000 0.0000 0.0000
0.7500 0.2500 0.5000
0.2500 0.7500 0.5000
0.5000 0.5000 0.0000
0.2121 0.6250 0.0871
0.3750 0.4621 0.5871
0.5379 0.1250 0.9129
0.8750 0.7879 0.4129
```

---

#Q
Density functional theory data (GGA-PBE) for InPdBr2 after structural relaxation.

Properties
crystal system	cubic
symmetry	No. 225

POSCAR file:
```
InPdBr2
1.0
0.0000 3.6204 3.6204
3.6204 0.0000 3.6204
3.6204 3.6204 0.0000
In Pd Br
1 1 2
Direct
0.0000 0.0000 0.0000
0.5000 0.5000 0.5000
0.2500 0.2500 0.2500
0.7500 0.7500 0.7500
```

---

#P (161 meV/atom below the next structure)